Record 1
First-principles (PBE) data for an optimized crystal structure of Hf2CuSn, as listed in the Alexandria database.

a = 4.3055 Å, b = 4.3055 Å, c = 4.1892 Å
α = 90.00°, β = 90.00°, γ = 90.00°
Atoms (fractional coordinates):
Hf: 0.0000 0.5000 0.0000
Hf: 0.5000 0.0000 0.0000
Cu: 0.0000 0.0000 0.5000
Sn: 0.5000 0.5000 0.5000

Summary:
Uncorrected energy   -7.185 eV per atom
Energy of formation   -0.18 eV per atom
Space group   No. 123

=====

Record 2
First-principles (PBE) data for an optimized crystal structure of Hf5CuSn2, as listed in the Alexandria database.

a = 7.2964 Å, b = 7.2964 Å, c = 11.9997 Å
α = 90.00°, β = 90.00°, γ = 141.58°
Atoms (fractional coordinates):
Hf: 0.1074 0.8926 0.6199
Hf: 0.1074 0.8926 0.8801
Hf: 0.3043 0.6957 0.2500
Hf: 0.3102 0.6898 0.5135
Hf: 0.3102 0.6898 0.9865
Hf: 0.6898 0.3102 0.0135
Hf: 0.6898 0.3102 0.4865
Hf: 0.6957 0.3043 0.7500
Hf: 0.8926 0.1074 0.1199
Hf: 0.8926 0.1074 0.3801
Cu: 0.2963 0.7037 0.7500
Cu: 0.7037 0.2963 0.2500
Sn: 0.1078 0.8922 0.1285
Sn: 0.1078 0.8922 0.3715
Sn: 0.8922 0.1078 0.6285
Sn: 0.8922 0.1078 0.8715

Summary:
Uncorrected energy   -7.513 eV per atom
Energy of formation   0.22 eV per atom
Space group   No. 63

=====

Per-record D(E_F), states/eV/cell: 3.533 14.025